5
Lattice="4.9420 0.0000 0.0000 0.0000 4.9420 0.0000 0.0000 0.0000 5.3330" Properties=species:S:1:pos:R:3 comment="TlZnBrCl2 PBE-GGA relaxed" m_tot_mub_per_fu=0.000 polymorph_energy_mev_per_atom=96 crystal_system=tetragonal final_energy_ev_per_atom=-2.723 space_group="P4/mmm (123)" pbc="T T T"
Tl 2.4710 2.4710 2.6665
Zn 0.0000 0.0000 0.0000
Br 0.0000 0.0000 2.6665
Cl 0.0000 2.4710 0.0000
Cl 2.4710 0.0000 0.0000


4
Lattice="-0.8894 0.6789 3.4653 -1.0703 -6.3921 2.8940 5.1958 -2.9535 3.8291" Properties=species:S:1:pos:R:3 comment="TmBr2Cl PBE-GGA relaxed" m_tot_mub_per_fu=0.000 polymorph_energy_mev_per_atom=38 crystal_system=orthorhombic final_energy_ev_per_atom=-4.359 n_ef_per_ev_fu=0.0 space_group="Imm2 (44)" pbc="T T T"
Tm 1.5889 -6.9600 7.5163
Br 3.7532 -8.3457 6.4303
Br 2.1909 -5.2233 5.4170
Cl 1.4468 -1.8167 2.6422


4
Lattice="2.0208 -7.7771 0.0000 2.0208 7.7771 0.0000 0.0000 0.0000 5.2144" Properties=species:S:1:pos:R:3 comment="TmBr2Cl PBE-GGA relaxed" m_tot_mub_per_fu=0.000 polymorph_energy_mev_per_atom=0 crystal_system=orthorhombic final_energy_ev_per_atom=-4.397 n_ef_per_ev_fu=0.0 space_group="Cmmm (65)" pbc="T T T"
Tm 4.0390 0.0000 0.0000
Br 2.0185 1.9106 0.0000
Br 2.0185 -1.9106 0.0000
Cl 4.0387 0.0000 2.6072


9
Lattice="-2.2964 -0.4957 7.1142 6.4552 -3.1815 -2.0830 3.2965 5.7304 1.4633" Properties=species:S:1:pos:R:3 comment="TmBrCl PBE-GGA relaxed" m_tot_mub_per_fu=0.000 crystal_system=trigonal final_energy_ev_per_atom=-4.170 n_ef_per_ev_fu=0.9 space_group="P3_2 (145)" pbc="T T T"
Tm 5.2684 2.1696 0.4095
Tm 8.3046 2.5299 2.6021
Tm 3.5986 -0.1592 2.8475
Br 5.4088 -2.0740 3.6043
Br 7.8921 2.7762 -0.0970
Br 3.0298 2.3765 1.9786
Cl 3.2246 0.1607 5.4385
Cl 1.7935 3.4998 6.0294
Cl 1.0527 -0.5180 2.5455


4
Lattice="-0.2150 3.5729 -0.0704 -6.7789 1.3619 -1.0675 -3.9291 1.6662 5.5442" Properties=species:S:1:pos:R:3 comment="TmBrCl2 PBE-GGA relaxed" m_tot_mub_per_fu=0.000 polymorph_energy_mev_per_atom=44 crystal_system=orthorhombic final_energy_ev_per_atom=-4.538 n_ef_per_ev_fu=0.0 space_group="Imm2 (44)" pbc="T T T"
Tm -8.5262 4.9151 2.5298
Br -2.4839 1.6774 1.6746
Cl -9.5810 3.0892 4.1081
Cl -6.5015 3.2480 2.7738


6
Lattice="3.7423 -0.0001 -0.0001 0.0001 6.4626 0.2821 1.8085 2.6535 7.6948" Properties=species:S:1:pos:R:3 comment="TmBrCl PBE-GGA relaxed" m_tot_mub_per_fu=0.000 crystal_system=triclinic final_energy_ev_per_atom=-4.357 n_ef_per_ev_fu=1.5 space_group="P-1 (2)" pbc="T T T"
Tm 3.7108 6.1178 4.0612
Tm 1.8401 2.9982 3.9157
Br 1.8396 5.0273 5.8766
Br 3.7113 4.0887 2.1003
Cl 3.7114 8.2457 5.7237
Cl 1.8395 0.8703 2.2532


3
Lattice="3.7384 0.0000 0.0000 -1.8692 3.2375 0.0000 0.0000 0.0000 7.3007" Properties=species:S:1:pos:R:3 comment="TmBrCl PBE-GGA relaxed" m_tot_mub_per_fu=0.000 crystal_system=trigonal final_energy_ev_per_atom=-4.350 n_ef_per_ev_fu=1.6 space_group="P3m1 (156)" pbc="T T T"
Tm 1.8692 1.0792 2.4964
Br 0.0000 0.0000 0.6786
Cl 0.0000 2.1583 4.1257


8
Lattice="6.5101 -0.3367 -2.2337 -3.2658 5.6418 -2.2337 0.0275 0.0449 7.4986" Properties=species:S:1:pos:R:3 comment="TmBrCl2 PBE-GGA relaxed" m_tot_mub_per_fu=0.000 polymorph_energy_mev_per_atom=0 crystal_system=monoclinic final_energy_ev_per_atom=-4.582 n_ef_per_ev_fu=0.0 space_group="Cc (9)" pbc="T T T"
Tm -0.6442 2.4467 1.8834
Tm 2.4853 0.5637 5.6326
Br 0.7279 4.8300 1.5135
Br 3.9542 2.8261 -2.2358
Cl 0.8745 1.4312 3.7591
Cl 4.2870 0.0388 -0.0600
Cl 0.8618 1.4081 0.0099
Cl -1.9049 3.8563 3.6893


8
Lattice="6.9413 0.4423 -0.2626 -2.1719 6.6076 -0.2626 -1.1305 -1.6711 6.7998" Properties=species:S:1:pos:R:3 comment="UBrCl6 PBE-GGA relaxed" m_tot_mub_per_fu=1.001 crystal_system=monoclinic final_energy_ev_per_atom=-4.155 n_ef_per_ev_fu=3.2 space_group="C2/m (12)" pbc="T T T"
U 1.8195 2.6894 3.1373
Br 0.0000 0.0000 0.0000
Cl 0.5248 0.7757 3.9901
Cl 2.9323 1.2125 1.4887
Cl 3.1141 4.6031 2.2845
Cl 3.6043 2.2059 4.7859
Cl 0.7067 4.1663 4.7859
Cl 0.0346 3.1729 1.4887


6
Lattice="7.0432 0.0000 0.0000 0.0000 7.0432 0.0000 -3.5216 -3.5216 5.1166" Properties=species:S:1:pos:R:3 comment="UBrCl4 PBE-GGA relaxed" m_tot_mub_per_fu=0.994 polymorph_energy_mev_per_atom=394 crystal_system=tetragonal final_energy_ev_per_atom=-4.509 n_ef_per_ev_fu=6.7 space_group="I-4 (82)" pbc="T T T"
U 3.5216 3.5216 0.0000
Br 3.5216 0.0000 2.5583
Cl 1.5216 4.2910 1.1969
Cl 5.5217 2.7522 1.1969
Cl -0.7694 -2.0001 3.9197
Cl 0.7694 2.0001 3.9197


5
Lattice="4.2526 0.1811 -0.1564 -0.3216 6.7878 -0.8325 0.2502 -0.0122 6.8417" Properties=species:S:1:pos:R:3 comment="UBr2Cl2 PBE-GGA relaxed" m_tot_mub_per_fu=2.000 crystal_system=orthorhombic final_energy_ev_per_atom=-5.148 n_ef_per_ev_fu=3.4 space_group="Cmmm (65)" pbc="T T T"
U 0.0000 0.0000 0.0000
Br 2.1121 1.5306 1.1989
Br 2.0690 5.4261 4.6539
Cl 0.1106 1.6477 4.9684
Cl -0.1820 5.1279 1.0408


8
Lattice="3.9631 -0.0015 0.0000 -1.9816 7.0511 0.0000 0.0000 0.0000 9.1652" Properties=species:S:1:pos:R:3 comment="UBr2Cl PBE-GGA relaxed" m_tot_mub_per_fu=3.000 crystal_system=orthorhombic final_energy_ev_per_atom=-5.553 n_ef_per_ev_fu=3.1 space_group="Cmcm (63)" pbc="T T T"
U 1.9813 3.3672 6.8739
U 0.0002 3.6824 2.2913
Br 0.0004 4.9253 5.1757
Br 1.9811 2.1243 3.9895
Br 0.0004 4.9253 8.5722
Br 1.9811 2.1243 0.5931
Cl 1.9826 5.5632 2.2913
Cl -0.0011 1.4864 6.8739